No. 1
First-principles (PBE) data for an optimized crystal structure of LaYV2, as listed in the Alexandria database. Values from VASP.

Its space group is I-42d, No. 122. The calculation puts the formation energy at 0.916 eV/atom. The energy above the lowest structure with this stoichiometry comes out at 401 meV per atom. The calculation puts the total DFT energy (no corrections) at -6.4908 eV per atom.

```
&SYSTEM
  ibrav = 0, nat = 8, ntyp = 3
/
ATOMIC_SPECIES
La 138.91 La.upf
Y 88.91 Y.upf
V 50.94 V.upf
CELL_PARAMETERS angstrom
-4.030 4.030 3.122
4.030 -4.030 3.122
4.030 4.030 -3.122
ATOMIC_POSITIONS angstrom
La 0.000 0.000 0.000
La 0.000 4.030 1.561
Y 4.030 0.000 1.561
Y 0.000 0.000 3.122
V 6.045 1.990 -0.780
V 1.990 2.015 0.780
V -2.015 2.040 2.341
V 2.040 2.015 3.902
```


No. 2
First-principles (PBE) data for an optimized crystal structure of LaYV2, as listed in the Alexandria database. Values from VASP.

Its space group is Fm-3m, No. 225. The calculation puts the formation energy at 0.516 eV/atom. The energy above the lowest structure with this stoichiometry comes out at 0 meV per atom. The calculation puts the total DFT energy (no corrections) at -6.8916 eV per atom.

```
&SYSTEM
  ibrav = 0, nat = 4, ntyp = 3
/
ATOMIC_SPECIES
La 138.91 La.upf
Y 88.91 Y.upf
V 50.94 V.upf
CELL_PARAMETERS angstrom
0.000 3.662 3.662
3.662 0.000 3.662
3.662 3.662 0.000
ATOMIC_POSITIONS angstrom
La 0.000 0.000 0.000
Y 3.662 3.662 3.662
V 1.831 1.831 1.831
V 5.493 5.493 5.493
```


No. 3
First-principles (PBE) data for an optimized crystal structure of LaV2Zn, as listed in the Alexandria database. Values from VASP.

Its space group is I4_1/amd, No. 141. The calculation puts the formation energy at 0.569 eV/atom. The calculation puts the total DFT energy (no corrections) at -5.5402 eV per atom.

```
&SYSTEM
  ibrav = 0, nat = 8, ntyp = 3
/
ATOMIC_SPECIES
La 138.91 La.upf
V 50.94 V.upf
Zn 65.41 Zn.upf
CELL_PARAMETERS angstrom
-2.171 2.171 9.581
2.171 -2.171 9.581
2.171 2.171 -9.581
ATOMIC_POSITIONS angstrom
La 2.171 1.086 2.395
La 0.000 1.086 7.186
V 0.000 0.000 0.000
V 1.086 1.086 -4.791
V 1.086 -1.086 4.791
V 0.000 2.171 0.000
Zn 2.171 -1.086 7.186
Zn 0.000 3.257 2.395
```


no.,total magnetization (Bohr magnetons per cell)
1,13.0
2,6.2
3,0.4